Entry 1:
# PBE Ti2AlPd, relaxed
# Crystal system: orthorhombic
# E, Ry/atom: -0.488
# Formation energy from the elements, eV per atom: -0.4621
data_Ti2AlPd
_chemical_formula_sum 'Ti4 Al2 Pd2'
_cell_length_a 5.440
_cell_length_b 8.144
_cell_length_c 2.866
_cell_angle_alpha 90.00
_cell_angle_beta 90.00
_cell_angle_gamma 90.00
_symmetry_space_group_name_H-M 'C m m m'
_symmetry_Int_Tables_number 65
_symmetry_space_group_name_Hall '-C 2 2'
loop_
_atom_site_label
_atom_site_type_symbol
_atom_site_fract_x
_atom_site_fract_y
_atom_site_fract_z
Ti1 Ti 0.250 0.250 0.000
Al1 Al 0.000 0.000 0.500
Pd1 Pd 0.000 0.500 0.500

***

Entry 2:
# PBE Ca2NiPbC, relaxed
# Crystal system: tetragonal
# E, Ry/atom: -0.343
# Formation energy from the elements, eV per atom: -0.1255
data_Ca2NiPbC
_chemical_formula_sum 'Ca2 Ni1 Pb1 C1'
_cell_length_a 5.352
_cell_length_b 5.352
_cell_length_c 3.662
_cell_angle_alpha 90.00
_cell_angle_beta 90.00
_cell_angle_gamma 90.00
_symmetry_space_group_name_H-M 'P 4/m m m'
_symmetry_Int_Tables_number 123
_symmetry_space_group_name_Hall '-P 4 2'
loop_
_atom_site_label
_atom_site_type_symbol
_atom_site_fract_x
_atom_site_fract_y
_atom_site_fract_z
Ca1 Ca 0.000 0.500 0.000
Ni1 Ni 0.000 0.000 0.500
Pb1 Pb 0.500 0.500 0.500
C1 C 0.000 0.000 0.000

***

Entry 3:
# PBE KAsOs2, relaxed
# Crystal system: tetragonal
# E, Ry/atom: -0.485
# Formation energy from the elements, eV per atom: 0.4577
data_KAsOs2
_chemical_formula_sum 'K1 As1 Os2'
_cell_length_a 2.919
_cell_length_b 2.919
_cell_length_c 8.841
_cell_angle_alpha 90.00
_cell_angle_beta 90.00
_cell_angle_gamma 90.00
_symmetry_space_group_name_H-M 'P 4 m m'
_symmetry_Int_Tables_number 99
loop_
_symmetry_equiv_pos_as_xyz
'x,y,z'
'-y,x,z'
'-x,-y,z'
'y,-x,z'
'-x,y,z'
'y,x,z'
'x,-y,z'
'-y,-x,z'
loop_
_atom_site_label
_atom_site_type_symbol
_atom_site_fract_x
_atom_site_fract_y
_atom_site_fract_z
K1 K 0.000 0.000 0.000
As1 As 0.500 0.500 0.685
Os1 Os 0.000 0.000 0.496
Os2 Os 0.500 0.500 0.310

***

Entry 4:
# PBE NaPaCuBr6, relaxed
# Energy relative to the elements, uncorrected, kJ/mol of atoms: -113.4
# Crystal system: trigonal
# E, Ry/atom: -0.290
data_NaPaCuBr6
_chemical_formula_sum 'Na2 Pa2 Cu2 Br12'
_cell_length_a 6.9583
_cell_length_b 6.9583
_cell_length_c 13.7208
_cell_angle_alpha 90.00
_cell_angle_beta 90.00
_cell_angle_gamma 120.00
_symmetry_space_group_name_H-M 'P -3 1 c'
_symmetry_Int_Tables_number 163
_symmetry_space_group_name_Hall '-P 3 2c'
loop_
_atom_site_label
_atom_site_type_symbol
_atom_site_fract_x
_atom_site_fract_y
_atom_site_fract_z
Na1 Na 0.0000 0.0000 0.0000
Pa1 Pa 0.3333 0.6667 0.2500
Cu1 Cu 0.3333 0.6667 0.7500
Br1 Br 0.0110 0.3567 0.6328

***

Entry 5:
# PBE Ba3Na7Sb4, relaxed
# Energy relative to the elements, uncorrected, kJ/mol of atoms: -58.8
# Crystal system: monoclinic
# E, Ry/atom: -0.210
data_Ba3Na7Sb4
_chemical_formula_sum 'Ba6 Na14 Sb8'
_cell_length_a 19.176
_cell_length_b 5.221
_cell_length_c 12.397
_cell_angle_alpha 90.00
_cell_angle_beta 128.47
_cell_angle_gamma 90.00
_symmetry_space_group_name_H-M 'C 1 2/m 1'
_symmetry_Int_Tables_number 12
loop_
_symmetry_equiv_pos_as_xyz
'x,y,z'
'-x,-y,-z'
'-x,y,-z'
'x,-y,z'
'x+1/2,y+1/2,z'
'-x+1/2,-y+1/2,-z'
'-x+1/2,y+1/2,-z'
'x+1/2,-y+1/2,z'
loop_
_atom_site_label
_atom_site_type_symbol
_atom_site_fract_x
_atom_site_fract_y
_atom_site_fract_z
Ba1 Ba 0.000 0.000 0.000
Ba2 Ba 0.204 0.500 0.747
Na1 Na 0.000 0.000 0.500
Na2 Na 0.017 0.500 0.289
Na3 Na 0.172 0.000 0.416
Na4 Na 0.173 0.500 0.009
Sb1 Sb 0.108 0.000 0.829
Sb2 Sb 0.168 0.500 0.257

***

Entry 6:
# PBE ZrBe2Sb, relaxed
# Energy relative to the elements, uncorrected, kJ/mol of atoms: 18.9
# Crystal system: tetragonal
# E, Ry/atom: -0.355
data_ZrBe2Sb
_chemical_formula_sum 'Zr1 Be2 Sb1'
_cell_length_a 3.351
_cell_length_b 3.351
_cell_length_c 5.822
_cell_angle_alpha 90.00
_cell_angle_beta 90.00
_cell_angle_gamma 90.00
_symmetry_space_group_name_H-M 'P 4/m m m'
_symmetry_Int_Tables_number 123
_symmetry_space_group_name_Hall '-P 4 2'
loop_
_atom_site_label
_atom_site_type_symbol
_atom_site_fract_x
_atom_site_fract_y
_atom_site_fract_z
Zr1 Zr 0.000 0.000 0.000
Be1 Be 0.500 0.500 0.287
Sb1 Sb 0.000 0.000 0.500